Entry from the Alexandria database: a relaxed structure of Lu5In4 (PBEsol).

Output
- energy (eV/cell) = -80.47
- size of the total moment (μB/f.u.) = 0.000

Lattice parameters (Å, degrees): 8.9644 8.9644 6.3935 90.00 90.00 120.00
Space group P6_3/mcm (No. 193)
Asymmetric unit:
Lu (0.0000, 0.2924, 0.2500) x6
Lu (0.3333, 0.6667, 0.0000) x4
In (0.0000, 0.0000, 0.0000) x2
In (0.0000, 0.3708, 0.7500) x6

---

Entry from the Alexandria database: a relaxed structure of SrIn2Cl (PBEsol).

Output
- energy (eV/cell) = -33.27
- energy above the lowest structure with this stoichiometry (eV per atom) = 0.507
- formation energy (no corrections) (eV per atom) = -0.319
- size of the total moment (μB/f.u.) = 0.000

Lattice parameters (Å, degrees): 3.7059 3.7059 29.3131 90.00 90.00 120.00
Space group R-3m (No. 166, hexagonal axes)
Asymmetric unit:
Sr (0.0000, 0.0000, 0.0000) x3
In (0.0000, 0.0000, 0.2397) x6
Cl (0.0000, 0.0000, 0.5000) x3

---

Entry from the Alexandria database: a relaxed structure of Be2Ni (PBEsol).

Output
- energy (eV/cell) = -15.14
- size of the total moment (μB/f.u.) = 0.000

Lattice parameters (Å, degrees): 3.5359 3.5359 2.3373 90.00 90.00 120.00
Space group P-3m1 (No. 164)
Asymmetric unit:
Be (0.3333, 0.6667, 0.4418) x2
Ni (0.0000, 0.0000, 0.0000) x1

---

Entry from the Alexandria database: a relaxed structure of K2PW (PBEsol).

Output
- energy (eV/cell) = -17.69
- energy above the lowest structure with this stoichiometry (eV per atom) = 0.095
- size of the total moment (μB/f.u.) = 0.000

Lattice parameters (Å, degrees): 2.900 5.157 5.589 90.00 90.00 90.00
Space group Pmmm (No. 47)
Asymmetric unit:
K (0.000, 0.248, 0.000) x2
P (0.500, 0.000, 0.500) x1
W (0.500, 0.500, 0.500) x1

---

Entry from the Alexandria database: a relaxed structure of LiMgBe4 (PBEsol).

Output
- energy (eV/cell) = -77.04
- size of the total moment (μB/f.u.) = 0.000

Lattice parameters (Å, degrees): 6.378 6.378 6.378 90.00 90.00 90.00
Space group F-43m (No. 216)
Asymmetric unit:
Li (0.000, 0.000, 0.000) x4
Mg (0.250, 0.250, 0.750) x4
Be (0.125, 0.125, 0.375) x16

---

Entry from the Alexandria database: a relaxed structure of Sr2RhW (PBEsol).

Output
- energy (eV/cell) = -43.15
- energy above the lowest structure with this stoichiometry (eV per atom) = 0.588
- size of the total moment (μB/f.u.) = 0.000

Lattice parameters (Å, degrees): 5.663 9.955 3.048 90.00 90.00 90.00
Space group Cmmm (No. 65)
Asymmetric unit:
Sr (0.250, 0.250, 0.000) x4
Rh (0.000, 0.000, 0.500) x2
W (0.000, 0.500, 0.500) x2

---

Entry from the Alexandria database: a relaxed structure of MgWBr (PBEsol).

Output
- energy (eV/cell) = -61.95
- formation energy (no corrections) (eV per atom) = 0.636
- size of the total moment (μB/f.u.) = 0.000

Lattice parameters (Å, degrees): 3.069 5.360 13.671 90.00 90.00 90.00
Space group Fmm2 (No. 42)
Asymmetric unit:
Mg (0.000, 0.000, 0.000) x4
W (0.000, 0.000, 0.667) x4
Br (0.000, 0.000, 0.324) x4

---

Entry from the Alexandria database: a relaxed structure of Mn3IrBr (PBEsol).

Output
- energy (eV/cell) = -34.17
- formation energy (no corrections) (eV per atom) = 1.362
- size of the total moment (μB/f.u.) = 10.295

Lattice parameters (Å, degrees): 4.353 4.353 4.353 90.00 90.00 90.00
Space group Pm-3m (No. 221)
Asymmetric unit:
Mn (0.000, 0.000, 0.500) x3
Ir (0.500, 0.500, 0.500) x1
Br (0.000, 0.000, 0.000) x1